DFT (PBE-GGA) results for crystalline LaPuZr at its relaxed geometry.

Results
Electronic total energy   -9.094 eV per atom
Density of states at the Fermi level   6.3 states/eV per cell
Offset from the most stable computed form   0.00 eV per formula unit
Energy of formation from the pure elements   16.9 kJ per mole of atoms

Unit cell a=7.7769 b=7.7769 c=7.7769 alpha=155.09 beta=155.09 gamma=35.52
With the nearest neighbours (Å) after each atom.
Element x y z (fractional)
1 La 0.0000 0.0000 0.0000  4 La 3.36, 4 Zr 3.50, 4 Pu 3.58
2 Pu 0.3193 0.3193 0.0000  4 Zr 3.21, 4 Pu 3.36, 4 La 3.58
3 Zr 0.6734 0.6734 0.0000  4 Pu 3.21, 4 Zr 3.36, 4 La 3.50